[1]
{"formula": "LiMn3", "functional": "PBE-GGA", "state": "optimized geometry", "delta_e_f_mev_per_atom": 285.4, "dos_ef_per_ev_cell": 4.36, "total_magnetization_mub_per_cell": 0.00, "lattice": [[3.968, 0.000, 0.000], [0.000, 2.341, -0.003], [0.000, 0.739, 4.600]], "species": ["Li", "Mn", "Mn", "Mn"], "fractional_positions": [[0.000, 0.000, 0.000], [0.500, 0.727, 0.757], [0.000, 0.500, 0.500], [0.500, 0.273, 0.243]]}



[2]
{"formula": "Cs2Li2CeI6", "functional": "PBE-GGA", "state": "optimized geometry", "dos_ef_per_ev_cell": 10.86, "raw_formation_energy_ev_per_atom": -1.246, "total_magnetization_mub_per_cell": 2.00, "lattice": [[-5.973, -5.989, 0.432], [3.993, 2.504, 6.907], [-6.713, 6.486, -2.899]], "species": ["Cs", "Cs", "Li", "Li", "Ce", "I", "I", "I", "I", "I", "I"], "fractional_positions": [[0.702, 0.403, 0.178], [0.298, 0.597, 0.822], [0.945, 0.889, 0.668], [0.055, 0.111, 0.332], [0.500, 0.000, 0.500], [0.742, 0.484, 0.597], [0.212, 0.899, 0.209], [0.313, 0.101, 0.791], [0.788, 0.101, 0.791], [0.687, 0.899, 0.209], [0.258, 0.516, 0.403]]}



[3]
{"formula": "MnSb", "functional": "PBE-GGA", "state": "optimized geometry", "dos_ef_per_ev_cell": 3.31, "raw_formation_energy_ev_per_atom": 0.204, "total_magnetization_mub_per_cell": 5.15, "lattice": [[4.318, 0.000, 0.000], [-2.159, 3.739, 0.000], [0.000, 0.000, 5.282]], "species": ["Mn", "Mn", "Sb", "Sb"], "fractional_positions": [[0.667, 0.333, 0.041], [0.333, 0.667, 0.801], [0.667, 0.333, 0.545], [0.000, 0.000, 0.068]]}



[4]
{"formula": "Ho3ScSi2C", "functional": "PBE-GGA", "state": "optimized geometry", "dos_ef_per_ev_cell": 0.82, "raw_formation_energy_ev_per_atom": -0.636, "total_magnetization_mub_per_cell": 0.00, "lattice": [[4.415, 0.000, 0.000], [0.000, 4.606, 0.000], [-2.208, -2.303, 7.504]], "species": ["Ho", "Ho", "Ho", "Sc", "Si", "Si", "C"], "fractional_positions": [[0.000, 0.500, 0.000], [0.167, 0.167, 0.334], [0.833, 0.833, 0.666], [0.500, 0.000, 0.000], [0.635, 0.635, 0.271], [0.365, 0.365, 0.729], [0.000, 0.000, 0.000]]}



[5]
{"formula": "AcTmTe", "functional": "PBE-GGA", "state": "optimized geometry", "dos_ef_per_ev_cell": 13.07, "raw_formation_energy_ev_per_atom": -0.761, "e_above_lowest_polymorph_ev_per_atom": 0.000, "total_magnetization_mub_per_cell": 0.11, "lattice": [[4.160, 0.000, 0.000], [-2.080, 10.832, 0.649], [0.000, -2.293, 9.480]], "species": ["Tm", "Tm", "Tm", "Tm", "Ac", "Ac", "Ac", "Ac", "Te", "Te", "Te", "Te"], "fractional_positions": [[0.065, 0.131, 0.607], [0.077, 0.155, 0.948], [0.923, 0.845, 0.052], [0.935, 0.869, 0.393], [0.715, 0.429, 0.747], [0.441, 0.881, 0.725], [0.559, 0.119, 0.275], [0.285, 0.571, 0.253], [0.173, 0.347, 0.462], [0.323, 0.647, 0.928], [0.677, 0.353, 0.072], [0.827, 0.653, 0.538]]}



[6]
{"formula": "ZrCo2W2", "functional": "PBE-GGA", "state": "optimized geometry", "delta_e_f_mev_per_atom": 113.1, "dos_ef_per_ev_cell": 9.18, "e_above_lowest_polymorph_ev_per_atom": 0.000, "total_magnetization_mub_per_cell": 0.00, "lattice": [[-5.846, -3.564, -2.734], [3.469, -0.731, -6.465], [1.064, -2.390, 0.841]], "species": ["Co", "Co", "Co", "Co", "Zr", "Zr", "W", "W", "W", "W"], "fractional_positions": [[0.374, 0.874, 0.000], [0.874, 0.626, 0.000], [0.626, 0.126, 0.000], [0.126, 0.374, 0.000], [0.000, 0.000, 0.000], [0.500, 0.500, 0.000], [0.166, 0.666, 0.500], [0.666, 0.834, 0.500], [0.834, 0.334, 0.500], [0.334, 0.166, 0.500]]}



[7]
{"formula": "BaAgMo", "functional": "PBE-GGA", "state": "optimized geometry", "delta_e_f_mev_per_atom": 1608.7, "dos_ef_per_ev_cell": 1.39, "e_above_lowest_polymorph_ev_per_atom": 0.706, "total_magnetization_mub_per_cell": 4.93, "lattice": [[-4.833, -1.688, -1.871], [-0.802, -5.277, -1.107], [-3.263, -2.988, 3.184]], "species": ["Ag", "Ba", "Mo"], "fractional_positions": [[0.500, 0.500, 0.500], [0.750, 0.750, 0.750], [0.000, 0.000, 0.000]]}



[8]
{"formula": "TmSc2N3", "functional": "PBE-GGA", "state": "optimized geometry", "dos_ef_per_ev_cell": 0.20, "raw_formation_energy_ev_per_atom": -1.858, "total_magnetization_mub_per_cell": 0.00, "lattice": [[3.140, 0.000, -0.890], [-0.485, 4.280, -1.713], [-0.094, -0.258, 5.654]], "species": ["Tm", "Sc", "Sc", "N", "N", "N"], "fractional_positions": [[0.000, 0.500, 0.000], [0.668, 0.168, 0.336], [0.332, 0.832, 0.664], [0.327, 0.327, 0.654], [0.000, 0.000, 0.000], [0.673, 0.673, 0.346]]}